1.
! Ho2CuI2, relaxed, DFT PBE; values from VASP
&SYSTEM
  ibrav = 0, nat = 5, ntyp = 3
/
ATOMIC_SPECIES
Ho 164.93 Ho.upf
Cu 63.55 Cu.upf
I 126.90 I.upf
CELL_PARAMETERS angstrom
3.9396 0.0000 0.9180
1.8629 3.4714 0.9180
-0.7127 -0.4264 11.9709
ATOMIC_POSITIONS angstrom
Ho 3.5068 2.0979 2.7757
Ho 1.5830 0.9470 11.0312
Cu 0.0000 0.0000 0.0000
I 1.0984 0.6571 4.1986
I 3.9914 2.3879 9.6083
! Energy relative to the elements, uncorrected (eV per atom): -0.786
! Magnetization (μB per formula unit): 0.03
! DOS(E_F) (states/eV per cell): 4.2


2.
! HoCuI2, relaxed, DFT PBE; values from VASP
&SYSTEM
  ibrav = 0, nat = 4, ntyp = 3
/
ATOMIC_SPECIES
I 126.90 I.upf
Ho 164.93 Ho.upf
Cu 63.55 Cu.upf
CELL_PARAMETERS angstrom
4.0222 0.0000 0.0000
2.0111 3.4833 0.0000
2.0111 1.1611 9.1710
ATOMIC_POSITIONS angstrom
I 2.0111 1.1611 6.1835
I 6.0332 3.4833 2.9875
Ho 0.0000 0.0000 0.0000
Cu 4.0222 2.3222 4.5855
! Energy relative to the elements, uncorrected (eV per atom): -0.161
! Magnetization (μB per formula unit): 0.00
! DOS(E_F) (states/eV per cell): 1.4


Calculated values (Å³/cell) of calculated volume for the records, taken in order: 167, 128.